Entry from Alexandria: Ca2Si5Ni3 after structural relaxation (PBE-GGA).

Unit cell a=5.607 b=7.970 c=7.970 alpha=75.37 beta=69.41 gamma=69.41
Fractional positions:
1 Ca 0.132 0.605 0.131
2 Ca 0.632 0.131 0.605
3 Ca 0.868 0.395 0.869
4 Ca 0.368 0.869 0.395
5 Si 0.394 0.257 0.955
6 Si 0.894 0.955 0.257
7 Si 0.606 0.743 0.045
8 Si 0.106 0.045 0.743
9 Si 0.483 0.767 0.767
10 Si 0.517 0.233 0.233
11 Si 0.750 0.500 0.500
12 Si 0.250 0.500 0.500
13 Si 0.017 0.233 0.233
14 Si 0.983 0.767 0.767
15 Ni 0.366 0.521 0.747
16 Ni 0.866 0.747 0.521
17 Ni 0.634 0.479 0.253
18 Ni 0.134 0.253 0.479
19 Ni 0.250 0.000 0.000
20 Ni 0.750 0.000 0.000

Computed properties:
- raw formation energy (eV/atom) = -0.588
- density of states at the Fermi level (states/eV/cell) = 7.97
- space group = Ibam
- size of the total moment (μB per formula unit) = 0.0